Entry from Alexandria: a geometry-optimized Rb3Mo structure (GGA-PBE).

```
Rb3Mo
1.0
6.8164 -0.8022 0.0000
0.7550 6.8218 0.0000
-3.7857 -3.0098 4.8699
Rb Mo
3 1
Cartesian
0.3775 3.4109 2.4350
3.4082 -0.4011 2.4350
3.7857 3.0098 0.0000
0.0000 0.0000 0.0000
```

Computed properties:
The energy relative to the elements is 1.192 eV per atom. For the density of states at the Fermi level, the calculation gives 2.38 states/eV/f.u.

***

Entry from Alexandria: a geometry-optimized HfSIO2 structure (GGA-PBE).

```
HfSIO2
1.0
3.9347 0.0000 0.0000
0.0000 3.9347 0.0000
0.0000 0.0000 5.5283
I O Hf S
1 2 1 1
Cartesian
0.0000 0.0000 2.7641
1.9674 0.0000 0.0000
0.0000 1.9674 0.0000
1.9674 1.9674 2.7641
0.0000 0.0000 0.0000
```

Computed properties:
The value obtained for the formation energy from raw total energies is 0.453 eV/atom. For the density of states at the Fermi level, the calculation gives 2.85 states/eV/f.u.